[1]
Density functional theory data (PBE-GGA) for a geometry-optimized InSb2AsPd structure.

formation energy from raw total energies	0.32	eV/atom
size of the total moment	0.00	μB per atom
offset from the most stable computed form	0.000	eV per atom
E	-19.2	eV per cell
SG	No. 123

a = 5.4618 Å, b = 5.4618 Å, c = 4.6772 Å
α = 90.00°, β = 90.00°, γ = 90.00°
Closest atoms and distances in Å follow each position.
Fractional coordinates of all 5 atoms:
In  0.0000  0.0000  0.0000  8 Sb 3.60, 4 As 3.86
Sb  0.0000  0.5000  0.5000  2 Pd 2.73
Sb  0.5000  0.0000  0.5000  2 Pd 2.73
As  0.5000  0.5000  0.0000  2 Pd 2.34
Pd  0.5000  0.5000  0.5000  2 As 2.34

[2]
Density functional theory data (PBE-GGA) for a geometry-optimized SmIn2As2Pd7 structure.

size of the total moment	0.00	μB per atom
calculated formation energy	-5.6	eV per formula unit
E	-61.4	eV per cell
SG	No. 12

a = 4.0248 Å, b = 4.0248 Å, c = 14.8303 Å
α = 94.72°, β = 94.72°, γ = 90.14°
Closest atoms and distances in Å follow each position.
Fractional coordinates of all 12 atoms:
Sm  0.0000  0.0000  0.0000  12 Pd 2.84-3.00
In  0.1166  0.1166  0.4069  5 Pd 2.81-2.88
In  0.8834  0.8834  0.5931  5 Pd 2.81-2.88
As  0.4208  0.4208  0.7502  5 Pd 2.46-2.49
As  0.5792  0.5792  0.2498  5 Pd 2.46-2.49
Pd  0.0484  0.5472  0.1507  2 As 2.48-2.49
Pd  0.3870  0.3870  0.5831  1 As 2.46
Pd  0.4528  0.9516  0.8493  2 As 2.48-2.49
Pd  0.5000  0.5000  0.0000  4 Sm 2.84-2.85, 8 Pd 2.99-3.00
Pd  0.5472  0.0484  0.1507  2 As 2.48-2.49
Pd  0.6130  0.6130  0.4168  1 As 2.46
Pd  0.9516  0.4528  0.8493  2 As 2.48-2.49

[3]
Density functional theory data (PBE-GGA) for a geometry-optimized Sm2InAs3Pd4 structure.

size of the total moment	0.00	μB per atom
calculated formation energy	-8.3	eV per formula unit
E	-55.2	eV per cell
SG	No. 115

a = 4.1970 Å, b = 4.1970 Å, c = 11.2845 Å
α = 90.00°, β = 90.00°, γ = 90.00°
Closest atoms and distances in Å follow each position.
Fractional coordinates of all 10 atoms:
Sm  0.0000  0.5000  0.2245  4 As 3.14, 8 Pd 3.29
Sm  0.5000  0.0000  0.7755  4 As 3.14, 8 Pd 3.29
In  0.0000  0.0000  0.5000  4 Pd 2.70, 4 As 2.97
As  0.0000  0.5000  0.8664  5 Pd 2.43-2.58
As  0.5000  0.0000  0.1336  5 Pd 2.43-2.58
As  0.5000  0.5000  0.5000  4 Pd 2.70, 4 In 2.97
Pd  0.0000  0.0000  0.0000  4 As 2.58
Pd  0.0000  0.5000  0.6507  3 As 2.43-2.70, 2 In 2.70
Pd  0.5000  0.0000  0.3493  3 As 2.43-2.70, 2 In 2.70
Pd  0.5000  0.5000  0.0000  4 As 2.58

[4]
Density functional theory data (PBE-GGA) for a geometry-optimized Sr3InAs2Pd9 structure.

size of the total moment	0.00	μB per atom
calculated formation energy	-8.1	eV per formula unit
E	-71.9	eV per cell
SG	No. 164

a = 6.4301 Å, b = 6.4301 Å, c = 9.7996 Å
α = 90.00°, β = 90.00°, γ = 120.00°
Closest atoms and distances in Å follow each position.
Fractional coordinates of all 15 atoms:
Sr  0.0000  0.0000  0.0000  12 Pd 3.16-3.22
Sr  0.3333  0.6667  0.7010  9 Pd 3.23-3.47
Sr  0.6667  0.3333  0.2990  9 Pd 3.23-3.47
In  0.0000  0.0000  0.5000  6 Pd 2.70
As  0.3333  0.6667  0.1659  6 Pd 2.39-2.47
As  0.6667  0.3333  0.8341  6 Pd 2.39-2.47
Pd  0.0000  0.5000  0.0000  2 As 2.47
Pd  0.1432  0.2863  0.2782  1 As 2.39
Pd  0.1432  0.8568  0.2782  1 As 2.39
Pd  0.2863  0.1432  0.7218  1 As 2.39
Pd  0.5000  0.0000  0.0000  2 As 2.47
Pd  0.5000  0.5000  0.0000  2 As 2.47
Pd  0.7137  0.8568  0.2782  1 As 2.39
Pd  0.8568  0.1432  0.7218  1 As 2.39
Pd  0.8568  0.7137  0.7218  1 As 2.39

[5]
Density functional theory data (PBE-GGA) for a geometry-optimized Sr2InAs4Pd3 structure.

size of the total moment	0.00	μB per atom
calculated formation energy	-6.9	eV per formula unit
E	-47.2	eV per cell
SG	No. 115

a = 4.4785 Å, b = 4.4785 Å, c = 10.8288 Å
α = 90.00°, β = 90.00°, γ = 90.00°
Closest atoms and distances in Å follow each position.
Fractional coordinates of all 10 atoms:
Sr  0.0000  0.5000  0.2349  8 As 3.39-3.40, 7 Pd 3.42-3.79, 2 In 3.64
Sr  0.5000  0.0000  0.7651  8 As 3.39-3.40, 7 Pd 3.42-3.79, 2 In 3.64
In  0.0000  0.0000  0.5000  4 As 2.77
As  0.0000  0.0000  0.0000  4 Pd 2.57
As  0.0000  0.5000  0.6513  3 Pd 2.52-2.77, 2 In 2.77
As  0.5000  0.0000  0.3487  3 Pd 2.52-2.77, 2 In 2.77
As  0.5000  0.5000  0.0000  4 Pd 2.57
Pd  0.0000  0.5000  0.8844  5 As 2.52-2.57
Pd  0.5000  0.0000  0.1156  5 As 2.52-2.57
Pd  0.5000  0.5000  0.5000  4 As 2.77

[6]
Density functional theory data (PBE-GGA) for a geometry-optimized Sr2InAs3Pd4 structure.

size of the total moment	0.00	μB per atom
calculated formation energy	-7.4	eV per formula unit
E	-48.2	eV per cell
SG	No. 115

a = 4.4243 Å, b = 4.4243 Å, c = 10.7822 Å
α = 90.00°, β = 90.00°, γ = 90.00°
Closest atoms and distances in Å follow each position.
Fractional coordinates of all 10 atoms:
Sr  0.0000  0.5000  0.2371  6 As 3.35-3.60, 8 Pd 3.38, 2 In 3.60
Sr  0.5000  0.0000  0.7629  6 As 3.35-3.60, 8 Pd 3.38, 2 In 3.60
In  0.0000  0.0000  0.5000  4 Pd 2.70
As  0.0000  0.5000  0.8751  5 Pd 2.50-2.59
As  0.5000  0.0000  0.1249  5 Pd 2.50-2.59
As  0.5000  0.5000  0.5000  4 Pd 2.70
Pd  0.0000  0.0000  0.0000  4 As 2.59
Pd  0.0000  0.5000  0.6436  3 As 2.50-2.70, 2 In 2.70
Pd  0.5000  0.0000  0.3564  3 As 2.50-2.70, 2 In 2.70
Pd  0.5000  0.5000  0.0000  4 As 2.59

[7]
Density functional theory data (PBE-GGA) for a geometry-optimized TbIn2As2Pd7 structure.

size of the total moment	0.00	μB per atom
calculated formation energy	-5.9	eV per formula unit
E	-61.7	eV per cell
SG	No. 12

a = 4.0065 Å, b = 4.0065 Å, c = 14.7902 Å
α = 94.74°, β = 94.74°, γ = 90.09°
Closest atoms and distances in Å follow each position.
Fractional coordinates of all 12 atoms:
Tb  0.0000  0.0000  0.0000  12 Pd 2.83-2.97
In  0.1165  0.1165  0.4064  5 Pd 2.80-2.88
In  0.8835  0.8835  0.5936  5 Pd 2.80-2.88
As  0.4209  0.4209  0.7513  5 Pd 2.47-2.49
As  0.5791  0.5791  0.2487  5 Pd 2.47-2.49
Pd  0.0479  0.5468  0.1485  2 As 2.48-2.49
Pd  0.3868  0.3868  0.5836  1 As 2.47
Pd  0.4532  0.9521  0.8515  2 As 2.48-2.49
Pd  0.5000  0.5000  0.0000  4 Tb 2.83-2.84, 8 Pd 2.96-2.97
Pd  0.5468  0.0479  0.1485  2 As 2.48-2.49
Pd  0.6132  0.6132  0.4164  1 As 2.47
Pd  0.9521  0.4532  0.8515  2 As 2.48-2.49

[8]
Density functional theory data (PBE-GGA) for a geometry-optimized Pm2InAs structure.

size of the total moment	0.00	μB per atom
offset from the most stable computed form	0.328	eV per atom
calculated formation energy	-2.4	eV per formula unit
E	-77.1	eV per cell
SG	No. 225

a = 7.5344 Å, b = 7.5344 Å, c = 7.5344 Å
α = 90.00°, β = 90.00°, γ = 90.00°
Closest atoms and distances in Å follow each position.
Fractional coordinates of all 16 atoms:
Pm  0.2500  0.2500  0.2500  4 As 3.26, 4 In 3.26
Pm  0.2500  0.2500  0.7500  4 As 3.26, 4 In 3.26
Pm  0.2500  0.7500  0.2500  4 As 3.26, 4 In 3.26
Pm  0.2500  0.7500  0.7500  4 As 3.26, 4 In 3.26
Pm  0.7500  0.2500  0.2500  4 As 3.26, 4 In 3.26
Pm  0.7500  0.2500  0.7500  4 As 3.26, 4 In 3.26
Pm  0.7500  0.7500  0.2500  4 As 3.26, 4 In 3.26
Pm  0.7500  0.7500  0.7500  4 As 3.26, 4 In 3.26
In  0.0000  0.0000  0.0000  8 Pm 3.26
In  0.0000  0.5000  0.5000  8 Pm 3.26
In  0.5000  0.0000  0.5000  8 Pm 3.26
In  0.5000  0.5000  0.0000  8 Pm 3.26
As  0.0000  0.0000  0.5000  8 Pm 3.26
As  0.0000  0.5000  0.0000  8 Pm 3.26
As  0.5000  0.0000  0.0000  8 Pm 3.26
As  0.5000  0.5000  0.5000  8 Pm 3.26